DFT (GGA-PBE) results for an optimized crystal structure of NdZrTc.

CIF file:
```
data_NdZrTc
_cell_length_a 6.6242
_cell_length_b 6.6242
_cell_length_c 6.6242
_cell_angle_alpha 90.00
_cell_angle_beta 90.00
_cell_angle_gamma 90.00
_symmetry_space_group_name_H-M 'F -4 3 m'
_symmetry_Int_Tables_number 216
_symmetry_space_group_name_Hall 'F -4 2 3'
loop_
_atom_site_label
_atom_site_type_symbol
_atom_site_fract_x
_atom_site_fract_y
_atom_site_fract_z
_atom_site_occupancy
Nd1 Nd 0.0000 0.0000 0.0000 1
Zr1 Zr 0.2500 0.2500 0.2500 1
Tc1 Tc 0.0000 0.0000 0.5000 1
```

Properties
M_tot = 0.00 μB/cell
DFT total energy = -7.193 eV/atom